1.
Below is crystalline TbTlHgS3 at its relaxed geometry, with properties calculated at the PBE-GGA level.

Summary:
Size of the total moment ... 0.00 μB/atom
Relative energy among the computed polymorphs ... 32 meV/atom

Unit cell a=14.366 b=4.129 c=11.060 alpha=90.00 beta=90.00 gamma=90.00
Space group Pnma (No. 62)
Inequivalent atoms, fractional coordinates:
Tb (0.026, 0.250, 0.152) x4
Tl (0.248, 0.250, 0.450) x4
Hg (0.022, 0.750, 0.393) x4
S (0.088, 0.750, 0.626) x4
S (0.091, 0.250, 0.923) x4
S (0.143, 0.750, 0.227) x4



2.
Below is crystalline BeCd2 at its relaxed geometry, with properties calculated at the PBE-GGA level.

Summary:
Relative energy among the computed polymorphs ... 74 meV/atom

Unit cell a=10.717 b=10.717 c=10.717 alpha=90.00 beta=90.00 gamma=90.00
Space group Fd-3m (No. 227, origin choice 2)
Inequivalent atoms, fractional coordinates:
Be (0.125, 0.125, 0.125) x8
Cd (0.000, 0.000, 0.000) x16



3.
Below is crystalline MgSiAg2Se3S at its relaxed geometry, with properties calculated at the PBE-GGA level.

Summary:
Total energy ... -3.94 eV/atom

Unit cell a=8.089 b=8.197 c=7.227 alpha=90.00 beta=123.68 gamma=90.00
Space group Cm (No. 8)
Inequivalent atoms, fractional coordinates:
Mg (0.000, 0.000, 0.000) x2
Si (0.015, 0.500, 0.005) x2
Ag (0.015, 0.263, 0.519) x4
Se (0.123, 0.273, 0.232) x4
Se (0.171, 0.000, 0.775) x2
S (0.127, 0.500, 0.794) x2